Entry 1:
{"formula": "KSi2As", "functional": "GGA-PBE", "state": "optimized geometry", "cell": [[-3.895, 1.496, -3.499], [1.237, -1.452, -5.101], [-0.083, -2.710, 4.723]], "species": ["As", "K", "Si", "Si"], "fractional_positions": [[0.250, 0.750, 0.500], [0.750, 0.250, 0.500], [0.000, 0.000, 0.000], [0.500, 0.500, 0.000]], "final_energy_ev_per_atom": -3.51, "raw_formation_energy_mev_per_atom": 643}

=====

Entry 2:
{"formula": "KSiAs2", "functional": "GGA-PBE", "state": "optimized geometry", "cell": [[-2.869, 6.847, 0.755], [-2.110, -1.652, 6.964], [0.889, 3.867, 5.185]], "species": ["As", "As", "As", "As", "Si", "Si", "K", "K"], "fractional_positions": [[0.531, 0.125, 0.250], [0.219, 0.625, 0.250], [0.375, 0.469, 0.750], [0.875, 0.781, 0.750], [0.500, 0.500, 0.000], [0.250, 0.750, 0.500], [0.000, 0.000, 0.000], [0.750, 0.250, 0.500]], "final_energy_ev_per_atom": -4.08, "raw_formation_energy_mev_per_atom": -129}

=====

Entry 3:
{"formula": "KSi2As4", "functional": "GGA-PBE", "state": "optimized geometry", "cell": [[5.314, 0.000, 0.000], [0.000, 5.314, 0.000], [2.657, 2.657, 7.042]], "species": ["As", "As", "As", "As", "Si", "Si", "K"], "fractional_positions": [[0.745, 0.745, 0.510], [0.255, 0.255, 0.490], [0.000, 0.500, 0.000], [0.500, 0.000, 0.000], [0.583, 0.583, 0.833], [0.417, 0.417, 0.167], [0.000, 0.000, 0.000]], "final_energy_ev_per_atom": -3.43, "raw_formation_energy_mev_per_atom": 932}